[1]
A plane-wave DFT calculation with PBEsol was carried out for crystalline Ti3BiSb at its relaxed geometry.

Output
As for the space group: No. 221. As for the spin magnetization: 5.17 μB per formula unit. The final energy comes out at -5.795 eV per atom.

abc: 5.125 5.125 5.125
angles: 90.00 90.00 90.00
Fractional positions:
Ti (0.000, 0.000, 0.500)
Ti (0.000, 0.500, 0.000)
Ti (0.500, 0.000, 0.000)
Bi (0.000, 0.000, 0.000)
Sb (0.500, 0.500, 0.500)

---

[2]
A plane-wave DFT calculation with PBEsol was carried out for crystalline Ti2BiSb2 at its relaxed geometry.

Output
As for the space group: No. 139. As for the spin magnetization: 0.00 μB per formula unit. The final energy comes out at -6.086 eV per atom.

abc: 5.977 5.977 5.977
angles: 130.54 130.54 72.55
Fractional positions:
Ti (0.250, 0.750, 0.500)
Ti (0.750, 0.250, 0.500)
Bi (0.000, 0.000, 0.000)
Sb (0.355, 0.355, 0.000)
Sb (0.645, 0.645, 0.000)